# Ce2HgN GGA-PBE relaxed
data_Ce2HgN
_chemical_formula_sum 'Ce2 Hg1 N1'
_space_group_name_H-M_alt 'P 1'
_space_group_IT_number 1
_cell_length_a 3.540
_cell_length_b 3.540
_cell_length_c 8.453
_cell_angle_alpha 102.11
_cell_angle_beta 90.00
_cell_angle_gamma 120.00
loop_
_space_group_symop_operation_xyz
'x,y,z'
loop_
_atom_site_label
_atom_site_fract_x
_atom_site_fract_y
_atom_site_fract_z
Hg1 0.500 0.500 0.000
Ce1 0.277 0.053 0.330
Ce2 0.723 0.947 0.670
N1 0.000 0.500 0.500
# SG: R-3m, No. 166
# Total energy, eV per atom: -5.953
# D(E_F), states/eV/f.u.: 7.79
# Energy above the lowest structure with this stoichiometry, eV per formula unit: 0.279